First-principles (PBE) data for crystalline CeMg6Pb6 at its relaxed geometry, as listed in Alexandria.

Calculated values
Density of states at the Fermi level (states/eV per cell): 10.716
Energy of formation from the pure elements (eV per atom): -0.091

a b c (Å): 6.414 8.066 8.066
angles (deg): 75.16 66.57 66.57
Atoms (fractional coordinates):
Ce 0.000 0.000 0.000
Mg 0.000 0.500 0.000
Mg 0.500 0.500 0.000
Mg 0.000 0.000 0.500
Mg 0.500 0.000 0.500
Mg 0.500 0.729 0.271
Mg 0.500 0.271 0.729
Pb 0.311 0.689 0.689
Pb 0.689 0.311 0.311
Pb 0.000 0.340 0.660
Pb 0.000 0.660 0.340
Pb 0.349 0.151 0.151
Pb 0.651 0.849 0.849

First-principles (PBE) data for crystalline NaPuInBi at its relaxed geometry, as listed in Alexandria.

Calculated values
Density of states at the Fermi level (states/eV per cell): 14.693
Energy of formation from the pure elements (eV per atom): -0.164

a b c (Å): 5.446 5.446 5.446
angles (deg): 60.00 60.00 60.00
Atoms (fractional coordinates):
Na 0.000 0.000 0.000
In 0.250 0.250 0.250
Bi 0.750 0.750 0.750
Pu 0.500 0.500 0.500

First-principles (PBE) data for crystalline Tb3Tm2Os2 at its relaxed geometry, as listed in Alexandria.

Calculated values
Density of states at the Fermi level (states/eV per cell): 4.718
Energy of formation from the pure elements (eV per atom): -0.249

a b c (Å): 3.957 6.289 8.194
angles (deg): 110.89 90.00 108.34
Atoms (fractional coordinates):
Tb 0.500 0.000 0.000
Tb 0.624 0.249 0.433
Tb 0.376 0.751 0.567
Tm 0.832 0.664 0.179
Tm 0.168 0.336 0.821
Os 0.821 0.641 0.786
Os 0.179 0.359 0.214

First-principles (PBE) data for crystalline Hf3BiF at its relaxed geometry, as listed in Alexandria.

Calculated values
Density of states at the Fermi level (states/eV per cell): 6.403
Formation energy from raw total energies (eV per atom): -0.338
Offset from the most stable computed form (meV per atom): 0.0

a b c (Å): 4.624 4.624 4.624
angles (deg): 90.00 90.00 90.00
Atoms (fractional coordinates):
Hf 0.000 0.500 0.000
Hf 0.000 0.000 0.500
Hf 0.500 0.000 0.000
Bi 0.500 0.500 0.500
F 0.000 0.000 0.000

First-principles (PBE) data for crystalline Gd3GaC at its relaxed geometry, as listed in Alexandria.

Calculated values
Density of states at the Fermi level (states/eV per cell): 2.631
Energy of formation from the pure elements (eV per atom): -0.403

a b c (Å): 4.915 4.915 4.915
angles (deg): 90.00 90.00 90.00
Atoms (fractional coordinates):
C 0.500 0.500 0.500
Gd 0.500 0.000 0.500
Gd 0.000 0.500 0.500
Gd 0.500 0.500 0.000
Ga 0.000 0.000 0.000

First-principles (PBE) data for crystalline Na2MgCd2Au5 at its relaxed geometry, as listed in Alexandria.

Calculated values
Density of states at the Fermi level (states/eV per cell): 4.675
Energy of formation from the pure elements (eV per atom): -0.283

a b c (Å): 3.720 10.822 10.822
angles (deg): 90.00 90.00 90.00
Atoms (fractional coordinates):
Na 0.000 0.668 0.168
Na 0.000 0.332 0.832
Na 0.000 0.168 0.332
Na 0.000 0.832 0.668
Mg 0.000 0.000 0.000
Mg 0.000 0.500 0.500
Cd 0.000 0.136 0.636
Cd 0.000 0.864 0.364
Cd 0.000 0.636 0.864
Cd 0.000 0.364 0.136
Au 0.500 0.186 0.050
Au 0.500 0.814 0.950
Au 0.500 0.050 0.814
Au 0.500 0.686 0.450
Au 0.500 0.950 0.186
Au 0.500 0.314 0.550
Au 0.500 0.550 0.686
Au 0.500 0.450 0.314
Au 0.500 0.500 0.000
Au 0.500 0.000 0.500

First-principles (PBE) data for crystalline TlAgSn2Br6 at its relaxed geometry, as listed in Alexandria.

Calculated values
Density of states at the Fermi level (states/eV per cell): 0.000
Formation energy from raw total energies (eV per atom): -0.679

a b c (Å): 7.615 7.615 8.296
angles (deg): 62.66 62.65 59.97
Atoms (fractional coordinates):
Tl 0.811 0.811 0.568
Ag 0.320 0.320 0.039
Sn 0.517 0.517 0.448
Sn 0.008 0.008 0.976
Br 0.586 0.260 0.236
Br 0.260 0.917 0.236
Br 0.918 0.586 0.236
Br 0.362 0.732 0.758
Br 0.732 0.147 0.759
Br 0.147 0.363 0.759

First-principles (PBE) data for crystalline K2InGaPb6 at its relaxed geometry, as listed in Alexandria.

Calculated values
Density of states at the Fermi level (states/eV per cell): 11.854
Energy of formation from the pure elements (eV per atom): 0.041

a b c (Å): 8.074 8.074 14.175
angles (deg): 73.45 73.45 60.00
Atoms (fractional coordinates):
K 0.870 0.870 0.391
K 0.130 0.130 0.609
K 0.694 0.694 0.919
K 0.306 0.306 0.081
In 0.000 0.000 0.000
In 0.500 0.500 0.500
Ga 0.566 0.566 0.301
Ga 0.434 0.434 0.699
Pb 0.957 0.356 0.332
Pb 0.356 0.957 0.332
Pb 0.356 0.356 0.332
Pb 0.043 0.644 0.668
Pb 0.644 0.043 0.668
Pb 0.644 0.644 0.668
Pb 0.695 0.230 0.845
Pb 0.230 0.695 0.845
Pb 0.230 0.230 0.845
Pb 0.305 0.770 0.155
Pb 0.770 0.305 0.155
Pb 0.770 0.770 0.155

First-principles (PBE) data for crystalline MnSnRuS at its relaxed geometry, as listed in Alexandria.

Calculated values
Density of states at the Fermi level (states/eV per cell): 2.179
Formation energy from raw total energies (eV per atom): -0.097
Offset from the most stable computed form (meV per atom): 103.7

a b c (Å): 3.269 3.269 6.866
angles (deg): 90.00 90.00 120.00
Atoms (fractional coordinates):
Ru 0.000 0.000 0.313
S 0.667 0.333 0.515
Mn 0.000 0.000 0.705
Sn 0.333 0.667 0.006

First-principles (PBE) data for crystalline Sn2Te2Rh at its relaxed geometry, as listed in Alexandria.

Calculated values
Density of states at the Fermi level (states/eV per cell): 4.664
Formation energy from raw total energies (eV per atom): -0.232
Offset from the most stable computed form (meV per atom): 0.0

a b c (Å): 4.437 5.039 12.886
angles (deg): 104.27 85.79 92.04
Atoms (fractional coordinates):
Sn 0.935 0.622 0.900
Sn 0.838 0.672 0.402
Sn 0.315 0.128 0.600
Sn 0.412 0.078 0.098
Te 0.931 0.619 0.653
Te 0.903 0.512 0.148
Te 0.319 0.131 0.847
Te 0.347 0.238 0.352
Rh 0.429 0.542 0.022
Rh 0.821 0.208 0.478